VASP calculation (PBE) on Gd2CuTc after structural relaxation.

```
4
Lattice="3.4622 0.0000 0.0000 0.0000 3.4622 0.0000 0.0000 0.0000 7.1007" Properties=species:S:1:pos:R:3 pbc="T T T"
Cu 1.7311 1.7311 3.5503
Tc 1.7311 1.7311 0.0000
Gd 0.0000 0.0000 5.4204
Gd 0.0000 0.0000 1.6803
```

calculated density: 9.288 Mg/m³
space group: P4/mmm (123)
electronic total energy: -10.742 eV per atom



VASP calculation (PBE) on SmAg2Hg after structural relaxation.

```
4
Lattice="-2.7899 -0.9017 -2.3568 -0.6026 -3.1737 1.9276 -4.2840 3.1594 3.8625" Properties=species:S:1:pos:R:3 pbc="T T T"
Ag -1.0197 0.7520 0.9194
Sm -3.8383 -0.4580 1.7167
Hg -1.6962 -2.0377 -0.2146
Ag -3.2643 2.4074 2.9432
```

calculated density: 10.111 Mg/m³
distance to the lowest polymorph of the same formula: 0.35 eV/f.u.
space group: P4/mmm (123)



VASP calculation (PBE) on TbNiAs3 after structural relaxation.

```
20
Lattice="-2.2250 -4.0489 3.1325 4.9429 -0.7357 2.5601 -3.0624 8.0464 8.2251" Properties=species:S:1:pos:R:3 pbc="T T T"
As 3.6871 0.0119 5.1208
Ni 0.9572 0.5479 1.3881
As -0.2897 3.8242 4.7371
As -1.4022 1.7997 6.3033
Tb 0.9733 1.1020 4.6023
As 2.2982 -0.9820 2.8497
As 0.1664 -1.6541 5.4398
Ni -0.1892 4.7384 10.9633
Tb 2.3265 -1.2894 7.4455
Tb -1.3178 2.1599 9.3154
Ni -0.1553 -1.4766 2.9543
As -2.6427 4.2438 11.0679
As -4.0316 3.2500 8.7968
As -2.8685 6.4675 8.8086
As 2.5240 -3.2056 5.1090
Ni 0.9233 6.7628 9.3971
As -0.5109 4.9160 8.4779
Tb -2.6710 4.5513 6.4721
As 1.0577 1.4621 7.6143
As 2.1702 3.4866 6.0481
```

calculated density: 7.874 Mg/m³
space group: Pbcm (57)
electronic total energy: -5.550 eV per atom



VASP calculation (PBE) on CuAg14Ge after structural relaxation.

```
16
Lattice="-1.9119 -4.6002 3.0368 -1.4775 0.5913 -5.6131 7.8113 -4.9479 -2.5774" Properties=species:S:1:pos:R:3 pbc="T T T"
Ag -1.7844 -3.0770 0.4989
Ag 3.1449 -2.4156 -3.7064
Ag 1.1029 -2.9003 -0.2308
Ag -1.5673 -0.4813 -3.8260
Ag 4.9196 -5.3179 -1.4901
Ag 3.9861 -7.6578 0.0351
Ag 0.1093 -5.2020 1.3143
Ag 4.2338 -5.0735 -4.3122
Ag -2.5246 -2.7901 -2.2951
Ag 0.2972 -2.5799 -3.0133
Cu 2.4096 -2.1041 -6.5329
Ag -0.8284 -0.7839 -1.0058
Ag 3.2118 -7.3378 -2.7881
Ag -0.6049 -4.9202 -1.5288
Ag 1.4550 -4.4144 -4.9909
Ge 2.1921 -4.7033 -2.2021
```

calculated density: 9.646 Mg/m³
space group: Amm2 (38)
electronic total energy: -2.967 eV per atom



VASP calculation (PBE) on TiPN3 after structural relaxation.

```
5
Lattice="-0.8083 1.6216 2.0271 -4.8228 -1.7506 -0.5228 2.8816 -2.7050 3.3130" Properties=species:S:1:pos:R:3 pbc="T T T"
N -0.6412 -0.5492 2.0070
Ti 1.8972 -1.8223 4.0377
P -0.3530 -2.3043 1.7026
N -1.4337 -2.3683 3.1462
N 1.1833 -2.4946 2.4674
```

calculated density: 3.042 Mg/m³
space group: Amm2 (38)
formation energy from raw total energies: -0.399 eV per atom



VASP calculation (PBE) on ZnCdCu3 after structural relaxation.

```
5
Lattice="4.4808 0.0000 0.0000 0.0000 4.4808 0.0000 0.0000 0.0000 4.4808" Properties=species:S:1:pos:R:3 pbc="T T T"
Cu 2.2404 0.0000 0.0000
Cu 0.0000 2.2404 0.0000
Cu 0.0000 0.0000 2.2404
Cd 2.2404 2.2404 2.2404
Zn 0.0000 0.0000 0.0000
```

calculated density: 6.801 Mg/m³
distance to the lowest polymorph of the same formula: 0.00 eV/f.u.
space group: Pm-3m (221)